Entry 1:
# Pm2PaN3 | the Alexandria database | PBE | optimized geometry
# - E_form (uncorrected): -1.587 eV/atom
# - Energy above the most stable polymorph in this dataset: 0 meV/atom
data_Pm2PaN3
_space_group_name_H-M_alt 'F d d d'
_space_group_IT_number 70
_cell_length_a 7.149
_cell_length_b 10.100
_cell_length_c 21.398
_cell_angle_alpha 90.00
_cell_angle_beta 90.00
_cell_angle_gamma 90.00
loop_
_space_group_symop_operation_xyz
'x,y,z'
'-x,-y,-z'
'-x+1/4,-y+1/4,z'
'x+1/4,y+1/4,-z'
'x,-y+1/4,-z+1/4'
'-x,y+1/4,z+1/4'
'-x+1/4,y,-z+1/4'
'x+1/4,-y,z+1/4'
'x,y+1/2,z+1/2'
'-x,-y+1/2,-z+1/2'
'-x+1/4,-y+3/4,z+1/2'
'x+1/4,y+3/4,-z+1/2'
'x,-y+3/4,-z+3/4'
'-x,y+3/4,z+3/4'
'-x+1/4,y+1/2,-z+3/4'
'x+1/4,-y+1/2,z+3/4'
'x+1/2,y,z+1/2'
'-x+1/2,-y,-z+1/2'
'-x+3/4,-y+1/4,z+1/2'
'x+3/4,y+1/4,-z+1/2'
'x+1/2,-y+1/4,-z+3/4'
'-x+1/2,y+1/4,z+3/4'
'-x+3/4,y,-z+3/4'
'x+3/4,-y,z+3/4'
'x+1/2,y+1/2,z'
'-x+1/2,-y+1/2,-z'
'-x+3/4,-y+3/4,z'
'x+3/4,y+3/4,-z'
'x+1/2,-y+3/4,-z+1/4'
'-x+1/2,y+3/4,z+1/4'
'-x+3/4,y+1/2,-z+1/4'
'x+3/4,-y+1/2,z+1/4'
loop_
_atom_site_label
_atom_site_type_symbol
_atom_site_fract_x
_atom_site_fract_y
_atom_site_fract_z
Pm1 Pm 0.125 0.125 0.043
Pm2 Pm 0.125 0.125 0.374
Pa1 Pa 0.125 0.125 0.541
N1 N 0.097 0.375 0.875
N2 N 0.112 0.361 0.713

Entry 2:
# Cs2AlAgSb | the Alexandria database | PBE | optimized geometry
# - E_form (uncorrected): 0.148 eV/atom
data_Cs2AlAgSb
_space_group_name_H-M_alt 'P 4/m m m'
_space_group_IT_number 123
_space_group_name_Hall '-P 4 2'
_cell_length_a 7.553
_cell_length_b 7.553
_cell_length_c 5.296
_cell_angle_alpha 90.00
_cell_angle_beta 90.00
_cell_angle_gamma 90.00
loop_
_atom_site_label
_atom_site_type_symbol
_atom_site_fract_x
_atom_site_fract_y
_atom_site_fract_z
Cs1 Cs 0.000 0.500 0.000
Al1 Al 0.000 0.000 0.500
Ag1 Ag 0.500 0.500 0.500
Sb1 Sb 0.000 0.000 0.000

Entry 3:
# HoMn2Tl3Se6 | the Alexandria database | PBE | optimized geometry
# - E_form (uncorrected): -0.713 eV/atom
data_HoMn2Tl3Se6
_space_group_name_H-M_alt 'C 1 2/m 1'
_space_group_IT_number 12
_cell_length_a 6.835
_cell_length_b 11.758
_cell_length_c 8.001
_cell_angle_alpha 90.00
_cell_angle_beta 106.30
_cell_angle_gamma 90.00
loop_
_space_group_symop_operation_xyz
'x,y,z'
'-x,-y,-z'
'-x,y,-z'
'x,-y,z'
'x+1/2,y+1/2,z'
'-x+1/2,-y+1/2,-z'
'-x+1/2,y+1/2,-z'
'x+1/2,-y+1/2,z'
loop_
_atom_site_label
_atom_site_type_symbol
_atom_site_fract_x
_atom_site_fract_y
_atom_site_fract_z
Ho1 Ho 0.000 0.000 0.000
Mn1 Mn 0.000 0.333 0.000
Tl1 Tl 0.000 0.158 0.500
Tl2 Tl 0.000 0.500 0.500
Se1 Se 0.201 0.500 0.186
Se2 Se 0.243 0.180 0.193

Entry 4:
# HoTm2SnC | the Alexandria database | PBE | optimized geometry
# - ΔH_f (0 K): -3.3 eV per formula unit
data_HoTm2SnC
_space_group_name_H-M_alt 'P 4/m m m'
_space_group_IT_number 123
_space_group_name_Hall '-P 4 2'
_cell_length_a 4.809
_cell_length_b 4.809
_cell_length_c 4.861
_cell_angle_alpha 90.00
_cell_angle_beta 90.00
_cell_angle_gamma 90.00
loop_
_atom_site_label
_atom_site_type_symbol
_atom_site_fract_x
_atom_site_fract_y
_atom_site_fract_z
Ho1 Ho 0.000 0.000 0.000
Tm1 Tm 0.000 0.500 0.500
Sn1 Sn 0.500 0.500 0.000
C1 C 0.000 0.000 0.500

Entry 5:
# Tl3Cd | the Alexandria database | PBE | optimized geometry
# - ΔH_f (0 K): 0.1 eV per formula unit
data_Tl3Cd
_space_group_name_H-M_alt 'P 4/m m m'
_space_group_IT_number 123
_space_group_name_Hall '-P 4 2'
_cell_length_a 3.864
_cell_length_b 3.864
_cell_length_c 7.789
_cell_angle_alpha 90.00
_cell_angle_beta 90.00
_cell_angle_gamma 90.00
loop_
_atom_site_label
_atom_site_type_symbol
_atom_site_fract_x
_atom_site_fract_y
_atom_site_fract_z
Tl1 Tl 0.000 0.000 0.000
Tl2 Tl 0.500 0.500 0.265
Cd1 Cd 0.000 0.000 0.500

Entry 6:
# Ba2CrSn2 | the Alexandria database | PBE | optimized geometry
# - ΔH_f (0 K): 1.0 eV per formula unit
# - Energy above the most stable polymorph in this dataset: 0 meV/atom
data_Ba2CrSn2
_space_group_name_H-M_alt 'I 4/m m m'
_space_group_IT_number 139
_space_group_name_Hall '-I 4 2'
_cell_length_a 4.327
_cell_length_b 4.327
_cell_length_c 20.653
_cell_angle_alpha 90.00
_cell_angle_beta 90.00
_cell_angle_gamma 90.00
loop_
_atom_site_label
_atom_site_type_symbol
_atom_site_fract_x
_atom_site_fract_y
_atom_site_fract_z
Ba1 Ba 0.000 0.000 0.106
Cr1 Cr 0.000 0.000 0.500
Sn1 Sn 0.000 0.500 0.250

Entry 7:
# PrHo2Co | the Alexandria database | PBE | optimized geometry
# - ΔH_f (0 K): -0.1 eV per formula unit
# - Energy above the most stable polymorph in this dataset: 95 meV/atom
data_PrHo2Co
_space_group_name_H-M_alt 'R 3 m'
_space_group_IT_number 160
_space_group_name_Hall 'R 3 -2"'
_cell_length_a 3.8000
_cell_length_b 3.8000
_cell_length_c 27.0760
_cell_angle_alpha 90.00
_cell_angle_beta 90.00
_cell_angle_gamma 120.00
loop_
_atom_site_label
_atom_site_type_symbol
_atom_site_fract_x
_atom_site_fract_y
_atom_site_fract_z
Pr1 Pr 0.0000 0.0000 0.0000
Ho1 Ho 0.0000 0.0000 0.5525
Ho2 Ho 0.0000 0.0000 0.7768
Co1 Co 0.0000 0.0000 0.1647

Entry 8:
# Zr2CoPbBr | the Alexandria database | PBE | optimized geometry
# - E_form (uncorrected): 0.270 eV/atom
data_Zr2CoPbBr
_space_group_name_H-M_alt 'P 4/m m m'
_space_group_IT_number 123
_space_group_name_Hall '-P 4 2'
_cell_length_a 5.078
_cell_length_b 5.078
_cell_length_c 4.385
_cell_angle_alpha 90.00
_cell_angle_beta 90.00
_cell_angle_gamma 90.00
loop_
_atom_site_label
_atom_site_type_symbol
_atom_site_fract_x
_atom_site_fract_y
_atom_site_fract_z
Zr1 Zr 0.000 0.500 0.000
Co1 Co 0.000 0.000 0.000
Pb1 Pb 0.500 0.500 0.500
Br1 Br 0.000 0.000 0.500

Entry 9:
# Ba2GeRhAu | the Alexandria database | PBE | optimized geometry
# - ΔH_f (0 K): -2.2 eV per formula unit
# - Energy above the most stable polymorph in this dataset: 196 meV/atom
data_Ba2GeRhAu
_space_group_name_H-M_alt 'P 4/m m m'
_space_group_IT_number 123
_space_group_name_Hall '-P 4 2'
_cell_length_a 6.054
_cell_length_b 6.054
_cell_length_c 4.688
_cell_angle_alpha 90.00
_cell_angle_beta 90.00
_cell_angle_gamma 90.00
loop_
_atom_site_label
_atom_site_type_symbol
_atom_site_fract_x
_atom_site_fract_y
_atom_site_fract_z
Ba1 Ba 0.000 0.500 0.000
Ge1 Ge 0.000 0.000 0.500
Rh1 Rh 0.000 0.000 0.000
Au1 Au 0.500 0.500 0.500

Entry 10:
# ZrRh2Se | the Alexandria database | PBE | optimized geometry
# - E_form (uncorrected): -0.333 eV/atom
data_ZrRh2Se
_space_group_name_H-M_alt 'P 4 m m'
_space_group_IT_number 99
_cell_length_a 3.190
_cell_length_b 3.190
_cell_length_c 6.626
_cell_angle_alpha 90.00
_cell_angle_beta 90.00
_cell_angle_gamma 90.00
loop_
_space_group_symop_operation_xyz
'x,y,z'
'-y,x,z'
'-x,-y,z'
'y,-x,z'
'-x,y,z'
'y,x,z'
'x,-y,z'
'-y,-x,z'
loop_
_atom_site_label
_atom_site_type_symbol
_atom_site_fract_x
_atom_site_fract_y
_atom_site_fract_z
Zr1 Zr 0.000 0.000 0.000
Rh1 Rh 0.000 0.000 0.505
Rh2 Rh 0.500 0.500 0.238
Se1 Se 0.500 0.500 0.712

Entry 11:
# Cd2HgS2 | the Alexandria database | PBE | optimized geometry
# - E_form (uncorrected): -0.196 eV/atom
# - Energy above the most stable polymorph in this dataset: 104 meV/atom
data_Cd2HgS2
_space_group_name_H-M_alt 'I 4/m m m'
_space_group_IT_number 139
_space_group_name_Hall '-I 4 2'
_cell_length_a 5.165
_cell_length_b 5.165
_cell_length_c 13.831
_cell_angle_alpha 90.00
_cell_angle_beta 90.00
_cell_angle_gamma 90.00
loop_
_atom_site_label
_atom_site_type_symbol
_atom_site_fract_x
_atom_site_fract_y
_atom_site_fract_z
Cd1 Cd 0.000 0.000 0.216
Hg1 Hg 0.000 0.000 0.000
S1 S 0.000 0.500 0.250

Entry 12:
# Ac4As2H

Crystalline Ac4As2H at its relaxed geometry (PBE, the Alexandria database).

Geometry as CIF:
```
data_Ac4As2H
_space_group_name_H-M_alt 'I 4/m m m'
_space_group_IT_number 139
_space_group_name_Hall '-I 4 2'
_cell_length_a 4.859
_cell_length_b 4.859
_cell_length_c 17.349
_cell_angle_alpha 90.00
_cell_angle_beta 90.00
_cell_angle_gamma 90.00
loop_
_atom_site_label
_atom_site_type_symbol
_atom_site_fract_x
_atom_site_fract_y
_atom_site_fract_z
Ac1 Ac 0.000 0.000 0.180
Ac2 Ac 0.000 0.500 0.000
As1 As 0.000 0.000 0.366
H1 H 0.000 0.000 0.000
```

Number 1: density of states at the Fermi level 47.71 states/eV per cell, DFT total energy -8.92 eV per atom. Number 2: density of states at the Fermi level 0.49 states/eV per cell, DFT total energy -2.34 eV per atom. Number 3: density of states at the Fermi level 8.51 states/eV per cell, DFT total energy -4.96 eV per atom. Number 4: density of states at the Fermi level 2.00 states/eV per cell, DFT total energy -6.01 eV per atom. Number 5: density of states at the Fermi level 1.07 states/eV per cell, DFT total energy -1.98 eV per atom. Number 6: density of states at the Fermi level 8.53 states/eV per cell, DFT total energy -4.10 eV per atom. Number 7: density of states at the Fermi level 13.45 states/eV per cell, DFT total energy -5.29 eV per atom. Number 8: density of states at the Fermi level 4.84 states/eV per cell, DFT total energy -5.65 eV per atom. Number 9: density of states at the Fermi level 3.22 states/eV per cell, DFT total energy -4.27 eV per atom. Number 10: density of states at the Fermi level 4.96 states/eV per cell, DFT total energy -7.02 eV per atom. Number 11: density of states at the Fermi level 0.80 states/eV per cell, DFT total energy -2.27 eV per atom. Number 12: density of states at the Fermi level 11.41 states/eV per cell, DFT total energy -4.88 eV per atom.